Model w:
This record from the Alexandria database describes an optimized crystal structure of CuSi3N. The functional is PBE-GGA.

Unit cell a=4.3753 b=4.3753 c=4.3753 alpha=90.00 beta=90.00 gamma=90.00
Last column: nearest neighbours and their distance in Å.
Sites, in units of the cell vectors:
Si 0.5000 0.0000 0.0000  2 Cu 2.19
Si 0.0000 0.5000 0.0000  2 Cu 2.19
Si 0.0000 0.0000 0.5000  2 Cu 2.19
N 0.5000 0.5000 0.5000  12 Si 3.09
Cu 0.0000 0.0000 0.0000  6 Si 2.19

Properties
- Symmetry: Pm-3m, No. 221
- Density of states at the Fermi level: 1.6 states/eV/f.u.

Model x:
This record from the Alexandria database describes an optimized crystal structure of CuSi3N. The functional is PBE-GGA.

Unit cell a=3.9944 b=3.9944 c=3.9944 alpha=90.00 beta=90.00 gamma=90.00
Last column: nearest neighbours and their distance in Å.
Sites, in units of the cell vectors:
Si 0.0000 0.5000 0.0000  2 N 2.00
Si 0.0000 0.0000 0.5000  2 N 2.00
Si 0.5000 0.0000 0.0000  2 N 2.00
Cu 0.5000 0.5000 0.5000  12 Si 2.82
N 0.0000 0.0000 0.0000  6 Si 2.00

Properties
- Symmetry: Pm-3m, No. 221
- Density of states at the Fermi level: 2.4 states/eV/f.u.

Which structure loses on stability? model w does.